1.
CaPdF4 | PBE | relaxed

POSCAR file:
```
CaPdF4
1.0
-2.063 5.137 0.036
-2.502 -0.971 -4.829
-4.606 -1.868 2.478
Ca Pd F
2 2 8
Direct
0.500 0.500 0.000
0.000 0.500 0.500
0.500 0.000 0.500
0.000 0.000 0.000
0.183 0.173 0.307
0.683 0.827 0.193
0.837 0.332 0.847
0.337 0.668 0.653
0.817 0.827 0.693
0.317 0.173 0.807
0.163 0.668 0.153
0.663 0.332 0.347
```

Summary:
The value obtained for the formation energy (no corrections) is -14.907 eV/f.u. The total magnetization is 2.0 μB per formula unit. Its energy above the most stable polymorph in this dataset is 64 meV per atom.


2.
LiTcSn | PBE | relaxed

POSCAR file:
```
LiTcSn
1.0
4.911 0.719 -2.305
1.352 2.830 -0.746
-12.344 -3.299 13.927
Tc Sn Li
2 2 2
Direct
0.027 0.797 0.592
0.973 0.203 0.408
0.085 0.138 0.278
0.915 0.862 0.722
0.907 0.527 0.052
0.093 0.473 0.948
```

Summary:
The total magnetization is 0.0 μB per formula unit. For the energy relative to the elements, the calculation gives -0.007 eV per atom.


3.
Li2LaW | PBE | relaxed

POSCAR file:
```
Li2LaW
1.0
4.070 0.000 0.000
0.000 4.070 0.000
2.035 2.035 10.836
Li W La
4 2 2
Direct
0.064 0.125 0.250
0.686 0.625 0.250
0.375 0.936 0.750
0.875 0.314 0.750
0.000 0.000 0.000
0.750 0.250 0.500
0.500 0.500 0.000
0.250 0.750 0.500
```

Summary:
The total magnetization is 0.0 μB per formula unit. Its energy above the most stable polymorph in this dataset is 394 meV per atom. For the energy relative to the elements, the calculation gives 0.895 eV per atom.


4.
PmZnGaNi | PBE | relaxed

POSCAR file:
```
PmZnGaNi
1.0
-0.192 -1.254 -4.474
-2.881 -3.395 -1.342
-3.763 1.011 -2.539
Ni Zn Ga Pm
1 1 1 1
Direct
0.250 0.250 0.250
0.750 0.750 0.750
0.500 0.500 0.500
0.000 0.000 0.000
```

Summary:
The total magnetization is 0.0 μB per formula unit. For the energy relative to the elements, the calculation gives -0.321 eV per atom.


5.
Sc2Si2Os | PBE | relaxed

POSCAR file:
```
Sc2Si2Os
1.0
4.042 0.000 0.000
2.021 4.811 0.620
2.021 1.660 4.558
Sc Si Os
2 2 1
Direct
0.798 0.702 0.702
0.202 0.298 0.298
0.500 0.265 0.735
0.500 0.735 0.265
0.000 0.000 0.000
```

Summary:
The value obtained for the formation energy (no corrections) is -4.132 eV/f.u. The total magnetization is 0.0 μB per formula unit.


6.
Cs2In3Sn4Bi | PBE | relaxed

POSCAR file:
```
Cs2In3Sn4Bi
1.0
-4.257 1.236 -3.110
-3.296 -0.679 4.242
1.289 11.658 2.867
Cs In Sn Bi
2 3 4 1
Direct
0.500 0.000 0.249
0.000 0.500 0.751
0.000 0.000 0.500
0.500 0.000 0.878
0.000 0.500 0.122
0.500 0.500 0.000
0.000 0.000 0.000
0.500 0.000 0.627
0.000 0.500 0.373
0.500 0.500 0.500
```

Summary:
The total magnetization is 0.0 μB per formula unit. For the energy relative to the elements, the calculation gives -0.158 eV per atom.


7.
KHf2GaSn | PBE | relaxed

POSCAR file:
```
KHf2GaSn
1.0
5.054 0.000 0.000
0.000 5.166 0.000
0.000 0.000 5.054
K Hf Sn Ga
1 2 1 1
Direct
0.000 0.000 0.000
0.000 0.000 0.500
0.500 0.000 0.000
0.500 0.500 0.500
0.000 0.500 0.000
```

Summary:
The total magnetization is 0.0 μB per formula unit. For the energy relative to the elements, the calculation gives 1.873 eV per atom.


8.
Pr2NiOs | PBE | relaxed

POSCAR file:
```
Pr2NiOs
1.0
-0.904 3.120 1.309
-1.610 0.795 -3.007
-6.142 -2.843 2.537
Pr Ni Os
2 1 1
Direct
0.000 0.000 0.753
0.000 0.000 0.247
0.500 0.500 0.500
0.500 0.500 0.000
```

Summary:
The total magnetization is 0.0 μB per formula unit. For the energy relative to the elements, the calculation gives -0.017 eV per atom.


9.
Cs2CaRhCl6 | PBE | relaxed

POSCAR file:
```
Cs2CaRhCl6
1.0
-6.742 3.136 0.904
-1.579 -4.950 5.396
3.929 6.420 7.039
Cs Ca Rh Cl
4 2 2 12
Direct
0.500 0.750 0.250
0.000 0.250 0.750
0.500 0.750 0.750
0.000 0.250 0.250
0.000 0.750 0.500
0.500 0.250 0.000
0.500 0.250 0.500
0.000 0.750 0.000
0.500 0.250 0.269
0.500 0.250 0.731
0.000 0.750 0.231
0.000 0.750 0.769
0.257 0.007 0.500
0.743 0.007 0.500
0.257 0.493 0.500
0.743 0.493 0.500
0.757 0.507 0.000
0.243 0.507 0.000
0.243 0.993 0.000
0.757 0.993 0.000
```

Summary:
The value obtained for the formation energy (no corrections) is -15.965 eV/f.u. The total magnetization is 1.0 μB per formula unit.


10.
LaGdNiAg | PBE | relaxed

POSCAR file:
```
LaGdNiAg
1.0
-2.167 4.301 1.780
-4.761 -0.128 1.918
-0.753 0.598 5.043
Ni Gd Ag La
1 1 1 1
Direct
0.750 0.750 0.750
0.000 0.000 0.000
0.250 0.250 0.250
0.500 0.500 0.500
```

Summary:
The total magnetization is 7.2 μB per formula unit. For the energy relative to the elements, the calculation gives -0.235 eV per atom.


11.
LaPm6Nd | PBE | relaxed

POSCAR file:
```
LaPm6Nd
1.0
5.188 0.000 0.000
0.000 7.290 -0.823
0.000 0.819 7.290
La Pm Nd
1 6 1
Direct
0.500 0.500 0.500
0.500 0.000 0.500
0.500 0.500 0.000
0.000 0.249 0.249
0.000 0.751 0.751
0.000 0.751 0.249
0.000 0.249 0.751
0.500 0.000 0.000
```

Summary:
The total magnetization is 0.0 μB per formula unit. For the energy relative to the elements, the calculation gives 0.016 eV per atom.


12.
InRe2Pb | PBE | relaxed

POSCAR file:
```
InRe2Pb
1.0
-2.349 -1.832 -0.766
1.732 -2.470 0.599
-2.779 0.075 8.343
In Pb Re
1 1 2
Direct
0.000 0.000 0.444
0.500 0.500 0.793
0.000 0.000 0.052
0.500 0.500 0.211
```

Summary:
The total magnetization is 0.0 μB per formula unit. Its energy above the most stable polymorph in this dataset is 17 meV per atom. For the energy relative to the elements, the calculation gives 0.334 eV per atom.


13.
In4HgSe | PBE | relaxed

POSCAR file:
```
In4HgSe
1.0
0.000 4.404 4.404
4.404 0.000 4.404
4.404 4.404 0.000
In Hg Se
4 1 1
Direct
0.874 0.375 0.375
0.375 0.375 0.874
0.375 0.874 0.375
0.375 0.375 0.375
0.000 0.000 0.000
0.750 0.750 0.750
```

Summary:
The value obtained for the formation energy (no corrections) is 0.692 eV/f.u. The total magnetization is 0.0 μB per formula unit.


14.
La2MgSc | PBE | relaxed

POSCAR file:
```
La2MgSc
1.0
-0.799 1.376 6.331
3.518 -5.299 -1.451
3.113 1.138 0.783
La Mg Sc
2 1 1
Direct
0.000 0.000 0.000
0.500 0.000 0.500
0.000 0.500 0.500
0.500 0.500 0.000
```

Summary:
The total magnetization is 0.0 μB per formula unit. For the energy relative to the elements, the calculation gives 0.112 eV per atom.


15.
La4MgCu | PBE | relaxed

POSCAR file:
```
La4MgCu
1.0
3.782 -0.001 0.000
0.001 3.782 0.000
-0.001 -0.001 12.929
La Mg Cu
4 1 1
Direct
0.500 0.500 0.834
0.500 0.500 0.166
0.000 0.000 0.633
0.000 0.000 0.367
0.000 0.000 0.000
0.500 0.500 0.500
```

Summary:
The total magnetization is 1.1 μB per formula unit. Its energy above the most stable polymorph in this dataset is 0 meV per atom. For the energy relative to the elements, the calculation gives -0.060 eV per atom.


16.
CsTcH4 | PBE | relaxed

POSCAR file:
```
CsTcH4
1.0
0.362 -1.673 -4.694
2.960 -5.502 2.189
-6.677 0.453 0.158
Cs Tc H
2 2 8
Direct
0.784 0.823 0.647
0.216 0.177 0.353
0.252 0.518 0.036
0.748 0.482 0.964
0.228 0.662 0.324
0.444 0.269 0.846
0.000 0.302 0.000
0.556 0.423 0.154
0.772 0.338 0.676
0.556 0.731 0.154
0.000 0.698 0.000
0.444 0.577 0.846
```

Summary:
The total magnetization is 0.0 μB per formula unit. The value obtained for the final energy is -49.9 eV for the cell shown.


17.
Be4CdCo | PBE | relaxed

POSCAR file:
```
Be4CdCo
1.0
0.000 3.106 3.106
3.106 0.000 3.106
3.106 3.106 0.000
Be Cd Co
4 1 1
Direct
0.881 0.373 0.373
0.373 0.373 0.881
0.373 0.881 0.373
0.373 0.373 0.373
0.750 0.750 0.750
0.000 0.000 0.000
```

Summary:
The total magnetization is 0.0 μB per formula unit. For the energy relative to the elements, the calculation gives 0.006 eV per atom.


18.
CaZrMo | PBE | relaxed

POSCAR file:
```
CaZrMo
1.0
8.129 0.000 0.000
7.068 4.015 0.000
-7.598 -2.008 2.076
Mo Ca Zr
1 1 1
Direct
0.327 0.327 0.000
0.987 0.987 0.000
0.685 0.685 0.000
```

Summary:
The total magnetization is 0.0 μB per formula unit. Its energy above the most stable polymorph in this dataset is 224 meV per atom. For the energy relative to the elements, the calculation gives 0.595 eV per atom.


19.
Zr7Re | PBE | relaxed

POSCAR file:
```
Zr7Re
1.0
0.000 4.427 4.427
4.427 0.000 4.427
4.427 4.427 0.000
Zr Re
7 1
Direct
0.500 0.000 0.000
0.500 0.500 0.000
0.000 0.500 0.000
0.500 0.000 0.500
0.000 0.000 0.500
0.000 0.500 0.500
0.500 0.500 0.500
0.000 0.000 0.000
```

Summary:
The total magnetization is 0.0 μB per formula unit. For the energy relative to the elements, the calculation gives 0.144 eV per atom.


20.
La2ZnAg3Ge4 | PBE | relaxed

POSCAR file:
```
La2ZnAg3Ge4
1.0
-3.339 -2.745 -0.845
1.045 0.046 -4.278
6.668 -8.586 1.536
La Zn Ag Ge
2 1 3 4
Direct
0.500 0.000 0.255
0.000 0.500 0.745
0.500 0.500 0.500
0.000 0.000 0.500
0.500 0.000 0.865
0.000 0.500 0.135
0.500 0.500 0.000
0.000 0.000 0.000
0.500 0.000 0.634
0.000 0.500 0.366
```

Summary:
The total magnetization is 0.0 μB per formula unit. For the energy relative to the elements, the calculation gives -0.417 eV per atom.


21.
HRuBrCl6 | PBE | relaxed

POSCAR file:
```
HRuBrCl6
1.0
-1.673 -5.291 -3.646
3.138 -1.797 -5.571
9.178 -0.917 2.096
H Ru Br Cl
1 1 1 6
Direct
0.812 0.817 0.499
0.312 0.311 0.501
0.954 0.955 0.999
0.868 0.495 0.302
0.497 0.865 0.701
0.771 0.155 0.685
0.132 0.499 0.658
0.155 0.773 0.314
0.499 0.131 0.343
```

Summary:
The total magnetization is 2.0 μB per formula unit. The value obtained for the final energy is -28.6 eV for the cell shown.


22.
Ac3TiTl3Se8 | PBE | relaxed

POSCAR file:
```
Ac3TiTl3Se8
1.0
-6.130 -1.372 -6.132
-0.460 -4.213 7.686
-1.882 9.078 -0.150
Ac Ti Tl Se
3 1 3 8
Direct
0.500 0.000 0.500
0.500 0.500 0.500
0.000 0.500 0.500
0.000 0.000 0.500
0.000 0.000 0.000
0.000 0.500 0.000
0.500 0.500 0.000
0.259 0.518 0.277
0.741 0.482 0.723
0.791 0.582 0.304
0.209 0.418 0.696
0.791 0.013 0.304
0.209 0.987 0.696
0.222 0.013 0.304
0.778 0.987 0.696
```

Summary:
The value obtained for the formation energy (no corrections) is -19.700 eV/f.u. The total magnetization is 0.0 μB per formula unit.


23.
BaLiInF6 | PBE | relaxed

POSCAR file:
```
BaLiInF6
1.0
-5.316 0.238 1.467
3.858 -1.141 3.780
1.105 11.057 2.210
Ba Li In F
2 2 2 12
Direct
0.000 0.000 0.000
0.000 0.000 0.500
0.667 0.333 0.250
0.333 0.667 0.750
0.333 0.667 0.250
0.667 0.333 0.750
0.627 0.625 0.146
0.998 0.373 0.146
0.373 0.998 0.646
0.002 0.627 0.854
0.375 0.373 0.354
0.998 0.625 0.354
0.625 0.998 0.854
0.627 0.002 0.354
0.002 0.375 0.646
0.375 0.002 0.146
0.625 0.627 0.646
0.373 0.375 0.854
```

Summary:
The value obtained for the formation energy (no corrections) is -27.842 eV/f.u. The total magnetization is 0.0 μB per formula unit.


24.
K2In3Au5 | PBE | relaxed

POSCAR file:
```
K2In3Au5
1.0
6.745 0.000 0.000
3.372 8.871 0.127
3.372 1.494 8.745
K In Au
4 6 10
Direct
0.131 0.601 0.137
0.631 0.137 0.601
0.869 0.399 0.863
0.369 0.863 0.399
0.359 0.541 0.741
0.859 0.741 0.541
0.641 0.459 0.259
0.141 0.259 0.459
0.250 0.000 0.000
0.750 0.000 0.000
0.392 0.269 0.947
0.892 0.947 0.269
0.608 0.731 0.053
0.108 0.053 0.731
0.466 0.784 0.784
0.534 0.216 0.216
0.750 0.500 0.500
0.250 0.500 0.500
0.034 0.216 0.216
0.966 0.784 0.784
```

Summary:
The total magnetization is 0.0 μB per formula unit. Its energy above the most stable polymorph in this dataset is 0 meV per atom. For the energy relative to the elements, the calculation gives -0.284 eV per atom.